(1)
Computed, not measured: a geometry-optimized La6Zn3In structure at the PBE level of DFT.

- E_tot: -3.881 eV per atom
- Formation energy: -269 meV/atom
- Magnetization: 0.0 Bohr magnetons per cell

Cell lengths 9.682, 5.300, 11.755 Å; angles 90.00, 105.80, 90.00 degrees
Space group P2_1/m (No. 11)
Unique sites:
La 0.029 0.250 0.413 x2
La 0.142 0.750 0.185 x2
La 0.220 0.250 0.991 x2
La 0.326 0.750 0.803 x2
La 0.383 0.250 0.345 x2
La 0.399 0.250 0.614 x2
Zn 0.033 0.750 0.875 x2
Zn 0.121 0.250 0.710 x2
Zn 0.269 0.750 0.474 x2
In 0.450 0.750 0.101 x2

---

(2)
Computed, not measured: a geometry-optimized La3Zn2In3 structure at the PBE level of DFT.

- E_tot: -3.660 eV per atom
- Formation energy: -467 meV/atom
- Magnetization: 0.0 Bohr magnetons per cell

Cell lengths 4.820, 11.371, 15.967 Å; angles 90.00, 90.00, 90.00 degrees
Space group Cmcm (No. 63)
Unique sites:
La 0.000 0.096 0.107 x8
La 0.000 0.367 0.250 x4
Zn 0.000 0.204 0.601 x8
In 0.000 0.339 0.750 x4
In 0.000 0.382 0.039 x8

---

(3)
Computed, not measured: a geometry-optimized La14ZnIn structure at the PBE level of DFT.

- E_tot: -4.634 eV per atom
- Formation energy: -71 meV/atom
- Magnetization: 0.0 Bohr magnetons per cell

Cell lengths 7.210, 7.210, 10.474 Å; angles 90.00, 90.00, 90.00 degrees
Space group P4/mmm (No. 123)
Unique sites:
La 0.000 0.000 0.000 x1
La 0.000 0.500 0.000 x2
La 0.000 0.500 0.500 x2
La 0.248 0.248 0.260 x8
La 0.500 0.500 0.000 x1
Zn 0.000 0.000 0.500 x1
In 0.500 0.500 0.500 x1

---

(4)
Computed, not measured: a geometry-optimized La6ZnIn structure at the PBE level of DFT.

- E_tot: -4.388 eV per atom
- Formation energy: -191 meV/atom
- Magnetization: 0.0 Bohr magnetons per cell

Cell lengths 5.404, 5.404, 18.042 Å; angles 90.00, 90.00, 90.00 degrees
Space group I4/mmm (No. 139)
Unique sites:
La 0.000 0.000 0.248 x4
La 0.000 0.500 0.108 x8
Zn 0.000 0.000 0.500 x2
In 0.000 0.000 0.000 x2